Entry 1:
## La5Pm2Ho6 (PBE)

Data for La5Pm2Ho6 after structural relaxation.

Lattice parameters (Å, degrees): 11.7295 20.9837 3.6337 90.00 90.00 90.00
Atoms (fractional coordinates):
La 0.0000 0.0000 0.0000
La 0.0600 0.2884 0.0000
La 0.1959 0.5681 0.0000
La 0.3041 0.0681 0.0000
La 0.4400 0.7884 0.0000
La 0.5000 0.5000 0.0000
La 0.5600 0.2116 0.0000
La 0.6959 0.9319 0.0000
La 0.8041 0.4319 0.0000
La 0.9400 0.7116 0.0000
Pm 0.1976 0.7300 0.5000
Pm 0.3024 0.2300 0.5000
Pm 0.6976 0.7700 0.5000
Pm 0.8024 0.2700 0.5000
Ho 0.0609 0.1419 0.5000
Ho 0.0753 0.4331 0.5000
Ho 0.1901 0.8748 0.0000
Ho 0.3099 0.3748 0.0000
Ho 0.4247 0.9331 0.5000
Ho 0.4391 0.6419 0.5000
Ho 0.5609 0.3581 0.5000
Ho 0.5753 0.0669 0.5000
Ho 0.6901 0.6252 0.0000
Ho 0.8099 0.1252 0.0000
Ho 0.9247 0.5669 0.5000
Ho 0.9391 0.8581 0.5000

Values from the calculation:
Crystal system: orthorhombic
Formation energy, eV per atom: 0.093

---

Entry 2:
## Ac3Sc2Pb4 (PBE)

Data for Ac3Sc2Pb4 after structural relaxation.

Lattice parameters (Å, degrees): 7.0929 7.0929 9.9513 111.05 111.05 40.65
Atoms (fractional coordinates):
Ac 0.0000 0.0000 0.0000
Ac 0.3763 0.3763 0.3017
Ac 0.6237 0.6237 0.6983
Sc 0.3111 0.3111 0.6368
Sc 0.6889 0.6889 0.3632
Pb 0.0836 0.0836 0.3984
Pb 0.2976 0.2976 0.9268
Pb 0.7024 0.7024 0.0732
Pb 0.9164 0.9164 0.6016

Values from the calculation:
Crystal system: monoclinic
Formation energy, eV per atom: -0.469

---

Entry 3:
## TbCdAgF6 (PBE)

Data for TbCdAgF6 after structural relaxation.

Lattice parameters (Å, degrees): 5.3521 5.3521 10.8660 90.00 90.00 90.00
Atoms (fractional coordinates):
Tb 0.0000 0.0000 0.0000
Tb 0.5000 0.5000 0.5000
Cd 0.0000 0.0000 0.3351
Cd 0.5000 0.5000 0.8351
Ag 0.0000 0.0000 0.6673
Ag 0.5000 0.5000 0.1673
F 0.1794 0.1794 0.1634
F 0.2045 0.2045 0.8555
F 0.2092 0.2092 0.4856
F 0.2908 0.7092 0.9856
F 0.2955 0.7045 0.3555
F 0.3206 0.6794 0.6634
F 0.6794 0.3206 0.6634
F 0.7045 0.2955 0.3555
F 0.7092 0.2908 0.9856
F 0.7908 0.7908 0.4856
F 0.7955 0.7955 0.8555
F 0.8206 0.8206 0.1634

Values from the calculation:
Crystal system: tetragonal
Formation energy (no corrections), eV per atom: -2.756

---

| no. | Fermi-level density of states (states/eV per atom) |
| --- | --- |
| 1 | 1.373 |
| 2 | 0.800 |
| 3 | 0.000 |